No. 1
The following is a DFT calculation (PBE-GGA) of a relaxed TbPm2Pt9 crystal.

Values from the calculation:
calculated density	16.01	Mg/m³
V	19.05	Å³/atom
crystal system	trigonal
total magnetization	0.00	μB per formula unit
energy of formation from the pure elements	-919	meV per atom

The structure in CIF format:
```
data_TbPm2Pt9
_chemical_formula_sum 'Tb3 Pm6 Pt27'
_space_group_name_H-M_alt 'R -3 m'
_space_group_IT_number 166
_space_group_name_Hall '-R 3 2"'
_cell_length_a 5.4402
_cell_length_b 5.4402
_cell_length_c 26.7608
_cell_angle_alpha 90.00
_cell_angle_beta 90.00
_cell_angle_gamma 120.00
loop_
_atom_site_label
_atom_site_type_symbol
_atom_site_fract_x
_atom_site_fract_y
_atom_site_fract_z
Tb1 Tb 0.0000 0.0000 0.0000
Pm1 Pm 0.0000 0.0000 0.1388
Pt1 Pt 0.0000 0.0000 0.3331
Pt2 Pt 0.0000 0.0000 0.5000
Pt3 Pt 0.0038 0.5019 0.9157
```


No. 2
The following is a DFT calculation (PBE-GGA) of a relaxed TbPmPt crystal.

Values from the calculation:
calculated density	10.41	Mg/m³
V	26.54	Å³/atom
crystal system	orthorhombic
total magnetization	0.00	μB per formula unit
relative energy among the computed polymorphs	0.025	eV/atom
energy of formation from the pure elements	-849	meV per atom

The structure in CIF format:
```
data_TbPmPt
_chemical_formula_sum 'Tb6 Pm6 Pt6'
_space_group_name_H-M_alt 'A m m 2'
_space_group_IT_number 38
_space_group_name_Hall 'A 2 -2'
_cell_length_a 4.785
_cell_length_b 12.202
_cell_length_c 8.184
_cell_angle_alpha 90.00
_cell_angle_beta 90.00
_cell_angle_gamma 90.00
loop_
_atom_site_label
_atom_site_type_symbol
_atom_site_fract_x
_atom_site_fract_y
_atom_site_fract_z
Tb1 Tb 0.000 0.000 0.000
Tb2 Tb 0.000 0.137 0.395
Pm1 Pm 0.500 0.000 0.679
Pm2 Pm 0.500 0.205 0.099
Pt1 Pt 0.000 0.159 0.741
Pt2 Pt 0.500 0.000 0.305
```


No. 3
The following is a DFT calculation (PBE-GGA) of a relaxed TbPmPt2 crystal.

Values from the calculation:
calculated density	11.59	Mg/m³
V	24.86	Å³/atom
crystal system	trigonal
total magnetization	0.00	μB per formula unit
relative energy among the computed polymorphs	0.121	eV/atom
energy of formation from the pure elements	-1099	meV per atom

The structure in CIF format:
```
data_TbPmPt2
_chemical_formula_sum 'Tb3 Pm3 Pt6'
_space_group_name_H-M_alt 'R -3 m'
_space_group_IT_number 166
_space_group_name_Hall '-R 3 2"'
_cell_length_a 4.1223
_cell_length_b 4.1223
_cell_length_c 20.2713
_cell_angle_alpha 90.00
_cell_angle_beta 90.00
_cell_angle_gamma 120.00
loop_
_atom_site_label
_atom_site_type_symbol
_atom_site_fract_x
_atom_site_fract_y
_atom_site_fract_z
Tb1 Tb 0.0000 0.0000 0.0000
Pm1 Pm 0.0000 0.0000 0.5000
Pt1 Pt 0.0000 0.0000 0.2527
```


No. 4
The following is a DFT calculation (PBE-GGA) of a relaxed Tb2PmPt3 crystal.

Values from the calculation:
calculated density	11.79	Mg/m³
V	24.60	Å³/atom
crystal system	orthorhombic
total magnetization	0.00	μB per formula unit
energy of formation from the pure elements	-1103	meV per atom

The structure in CIF format:
```
data_Tb2PmPt3
_chemical_formula_sum 'Tb4 Pm2 Pt6'
_space_group_name_H-M_alt 'I m m m'
_space_group_IT_number 71
_space_group_name_Hall '-I 2 2'
_cell_length_a 4.123
_cell_length_b 5.811
_cell_length_c 12.322
_cell_angle_alpha 90.00
_cell_angle_beta 90.00
_cell_angle_gamma 90.00
loop_
_atom_site_label
_atom_site_type_symbol
_atom_site_fract_x
_atom_site_fract_y
_atom_site_fract_z
Tb1 Tb 0.000 0.000 0.166
Pm1 Pm 0.000 0.000 0.500
Pt1 Pt 0.000 0.500 0.171
Pt2 Pt 0.000 0.500 0.500
```


No. 5
The following is a DFT calculation (PBE-GGA) of a relaxed TbPmPt crystal.

Values from the calculation:
calculated density	9.84	Mg/m³
V	28.08	Å³/atom
crystal system	orthorhombic
total magnetization	0.00	μB per formula unit
relative energy among the computed polymorphs	0.000	eV/atom
energy of formation from the pure elements	-874	meV per atom

The structure in CIF format:
```
data_TbPmPt
_chemical_formula_sum 'Tb8 Pm8 Pt8'
_space_group_name_H-M_alt 'P b c a'
_space_group_IT_number 61
_space_group_name_Hall '-P 2ac 2ab'
_cell_length_a 6.967
_cell_length_b 13.420
_cell_length_c 7.208
_cell_angle_alpha 90.00
_cell_angle_beta 90.00
_cell_angle_gamma 90.00
loop_
_atom_site_label
_atom_site_type_symbol
_atom_site_fract_x
_atom_site_fract_y
_atom_site_fract_z
Tb1 Tb 0.003 0.032 0.240
Pm1 Pm 0.198 0.699 0.894
Pt1 Pt 0.226 0.103 0.542
```


No. 6
The following is a DFT calculation (PBE-GGA) of a relaxed Tb3Pm2Pt2 crystal.

Values from the calculation:
calculated density	9.92	Mg/m³
V	27.66	Å³/atom
crystal system	monoclinic
total magnetization	0.00	μB per formula unit
energy of formation from the pure elements	-762	meV per atom

The structure in CIF format:
```
data_Tb3Pm2Pt2
_chemical_formula_sum 'Tb6 Pm4 Pt4'
_space_group_name_H-M_alt 'C 1 2/m 1'
_space_group_IT_number 12
_space_group_name_Hall '-C 2y'
_cell_length_a 12.469
_cell_length_b 3.797
_cell_length_c 9.154
_cell_angle_alpha 90.00
_cell_angle_beta 116.69
_cell_angle_gamma 90.00
loop_
_atom_site_label
_atom_site_type_symbol
_atom_site_fract_x
_atom_site_fract_y
_atom_site_fract_z
Tb1 Tb 0.000 0.000 0.000
Tb2 Tb 0.116 0.000 0.435
Pm1 Pm 0.162 0.500 0.812
Pt1 Pt 0.170 0.500 0.240
```


Question: Among the records above, which one has the highest energy of formation from the pure elements?
Answer: Tb3Pm2Pt2